1.
! Er2Mg3Tl | Alexandria via LeMat-Bulk | PBE-GGA | optimized geometry; values from VASP
! - E_tot: -2.86 eV per atom
! - V: 305.8 Å³ per cell
! - Symmetry: Fmmm, No. 69
! - Density: 6.645 g/cm³
! - M_tot: 0.00 μB per formula unit
&SYSTEM
  ibrav = 0, nat = 12, ntyp = 3
/
ATOMIC_SPECIES
Er 167.26 Er.upf
Mg 24.30 Mg.upf
Tl 204.38 Tl.upf
CELL_PARAMETERS angstrom
0.000 5.108 8.787
3.406 0.000 8.787
3.406 5.108 0.000
ATOMIC_POSITIONS crystal
Er 0.249 0.751 0.751
Er 0.250 0.250 0.250
Er 0.750 0.750 0.750
Er 0.751 0.249 0.249
Mg 0.167 0.667 0.333
Mg 0.333 0.833 0.167
Mg 0.334 0.334 0.666
Mg 0.666 0.666 0.334
Mg 0.667 0.167 0.833
Mg 0.833 0.333 0.667
Tl 0.166 0.166 0.834
Tl 0.834 0.834 0.166


2.
! Er6MgTl2 | Alexandria via LeMat-Bulk | PBE-GGA | optimized geometry; values from VASP
! - E_tot: -3.61 eV per atom
! - V: 289.4 Å³ per cell
! - Symmetry: C2/m, No. 12
! - Density: 8.242 g/cm³
! - M_tot: 0.01 μB per formula unit
&SYSTEM
  ibrav = 0, nat = 9, ntyp = 3
/
ATOMIC_SPECIES
Er 167.26 Er.upf
Mg 24.30 Mg.upf
Tl 204.38 Tl.upf
CELL_PARAMETERS angstrom
8.143 -3.669 0.000
8.143 3.669 0.000
-1.588 0.000 4.844
ATOMIC_POSITIONS crystal
Er 0.083 0.586 0.334
Er 0.250 0.750 0.000
Er 0.414 0.917 0.666
Er 0.586 0.083 0.334
Er 0.750 0.250 0.000
Er 0.917 0.414 0.666
Mg 0.000 0.000 0.500
Tl 0.332 0.332 0.832
Tl 0.668 0.668 0.168


3.
! Er2MgTl2 | Alexandria via LeMat-Bulk | PBE-GGA | optimized geometry; values from VASP
! - Excess energy over the best structure of this formula in the dataset: 0.23 eV per formula unit
! - V: 267.7 Å³ per cell
! - Symmetry: Cmc2_1, No. 36
! - Density: 9.523 g/cm³
! - M_tot: 0.00 μB per formula unit
&SYSTEM
  ibrav = 0, nat = 10, ntyp = 3
/
ATOMIC_SPECIES
Er 167.26 Er.upf
Mg 24.30 Mg.upf
Tl 204.38 Tl.upf
CELL_PARAMETERS angstrom
2.460 -8.345 0.000
2.460 8.345 0.000
0.000 0.000 6.519
ATOMIC_POSITIONS crystal
Er 0.015 0.985 0.500
Er 0.194 0.806 0.891
Er 0.806 0.194 0.391
Er 0.985 0.015 0.000
Mg 0.388 0.612 0.714
Mg 0.612 0.388 0.214
Tl 0.193 0.807 0.374
Tl 0.422 0.578 0.257
Tl 0.578 0.422 0.757
Tl 0.807 0.193 0.874